VASP calculation (PBE) on GePdSe4 after structural relaxation.

Unit cell a=3.6742 b=6.3440 c=6.8873 alpha=107.02 beta=90.00 gamma=90.00
With the nearest neighbours (Å) after each atom.
Fractional positions:
Se (0.0000, 0.7692, 0.2899)  2 Pd 2.52, 1 Ge 2.54
Se (0.5000, 0.2563, 0.2777)  1 Pd 2.54, 2 Ge 2.59
Se (0.5000, 0.7437, 0.7223)  1 Pd 2.54, 2 Ge 2.59
Se (0.0000, 0.2308, 0.7101)  2 Pd 2.52, 1 Ge 2.54
Pd (0.5000, 0.0000, 0.5000)  6 Se 2.52-2.54
Ge (0.0000, 0.5000, 0.5000)  6 Se 2.54-2.59

Formation energy (no corrections)   -229 meV/atom